Entry 1:
## AlSiP2 (PBE-GGA)

Data for a relaxed AlSiP2 crystal.

Cell lengths 3.2836, 3.2836, 6.7786 Å; angles 90.00, 90.00, 116.52 degrees
Last column: nearest neighbours and their distance in Å.
Atoms (fractional coordinates):
P1 0.0000 0.0000 0.4932  2 Si 2.39, 2 Al 2.45
Si1 0.5000 0.5000 0.2500  4 P 2.39
P2 0.0000 0.0000 0.0068  2 Si 2.39, 2 Al 2.45
Al1 0.5000 0.5000 0.7500  4 P 2.45

Raw formation energy   286 meV/atom
SG   Cmmm (65)
Density   2.97 g/cm3



Entry 2:
## AlSi2P (PBE-GGA)

Data for a relaxed AlSi2P crystal.

Cell lengths 4.5061, 4.5061, 4.5061 Å; angles 124.37, 124.37, 82.59 degrees
Last column: nearest neighbours and their distance in Å.
Atoms (fractional coordinates):
P1 0.7500 0.2500 0.5000  4 Al 2.70, 8 Si 2.70-2.97
Si1 0.0000 0.0000 0.0000  4 Si 2.70, 4 P 2.70, 4 Al 2.97
Al1 0.5000 0.5000 0.0000  8 Si 2.70-2.97, 4 P 2.70
Si2 0.2500 0.7500 0.5000  4 Al 2.70, 4 Si 2.70, 4 P 2.97

Raw formation energy   376 meV/atom
SG   I-4m2 (119)
Density   3.17 g/cm3



Entry 3:
## AlSiP2 (PBE-GGA)

Data for a relaxed AlSiP2 crystal.

Cell lengths 4.4256, 4.4256, 4.4256 Å; angles 60.00, 60.00, 60.00 degrees
Last column: nearest neighbours and their distance in Å.
Atoms (fractional coordinates):
P1 0.0000 0.0000 0.0000  4 Si 2.71, 4 P 2.71
Al1 0.5000 0.5000 0.5000  4 Si 2.71, 4 P 2.71
Si1 0.2500 0.2500 0.2500  4 Al 2.71, 4 P 2.71
P2 0.7500 0.7500 0.7500  4 Al 2.71, 4 P 2.71

Raw formation energy   482 meV/atom
SG   F-43m (216)
Density   3.17 g/cm3



Entry 4:
## AlSiP (PBE-GGA)

Data for a relaxed AlSiP crystal.

Cell lengths 3.8744, 3.8744, 29.1015 Å; angles 90.00, 90.00, 120.00 degrees
Last column: nearest neighbours and their distance in Å.
Atoms (fractional coordinates):
Si1 0.0000 0.0000 0.3196  3 Si 2.38, 1 Al 2.47
Al1 0.6667 0.3333 0.5679  3 P 2.40, 1 Si 2.47
Si2 0.3333 0.6667 0.9863  3 Si 2.38, 1 Al 2.47
Si3 0.6667 0.3333 0.0137  3 Si 2.38, 1 Al 2.47
P1 0.0000 0.0000 0.5383  1 P 2.23, 3 Al 2.40
Al2 0.0000 0.0000 0.7654  3 P 2.40, 1 Si 2.47
Al3 0.3333 0.6667 0.4321  3 P 2.40, 1 Si 2.47
Al4 0.3333 0.6667 0.9013  3 P 2.40, 1 Si 2.47
Al5 0.6667 0.3333 0.0987  3 P 2.40, 1 Si 2.47
Si4 0.0000 0.0000 0.6804  3 Si 2.38, 1 Al 2.47
P2 0.6667 0.3333 0.8716  1 P 2.23, 3 Al 2.40
Si5 0.3333 0.6667 0.3471  3 Si 2.38, 1 Al 2.47
P3 0.0000 0.0000 0.4617  1 P 2.23, 3 Al 2.40
Si6 0.6667 0.3333 0.6529  3 Si 2.38, 1 Al 2.47
Al6 0.0000 0.0000 0.2346  3 P 2.40, 1 Si 2.47
P4 0.3333 0.6667 0.2049  1 P 2.23, 3 Al 2.40
P5 0.3333 0.6667 0.1284  1 P 2.23, 3 Al 2.40
P6 0.6667 0.3333 0.7951  1 P 2.23, 3 Al 2.40

Raw formation energy   -233 meV/atom
SG   R-3m (166)
Density   2.27 g/cm3



Entry 5:
## AlSiP (PBE-GGA)

Data for a relaxed AlSiP crystal.

Cell lengths 3.8719, 3.8719, 29.1489 Å; angles 90.00, 90.00, 120.00 degrees
Last column: nearest neighbours and their distance in Å.
Atoms (fractional coordinates):
P1 0.3333 0.6667 0.6696  1 Si 2.28, 3 Al 2.40
Al1 0.3333 0.6667 0.2164  3 P 2.40, 1 Al 2.61
P2 0.0000 0.0000 0.0030  1 Si 2.28, 3 Al 2.40
P3 0.6667 0.3333 0.1862  1 Si 2.27, 3 Al 2.40
Si1 0.3333 0.6667 0.4415  1 P 2.27, 3 Si 2.37
Si2 0.0000 0.0000 0.0814  1 P 2.28, 3 Si 2.37
Si3 0.6667 0.3333 0.4147  1 P 2.28, 3 Si 2.37
P4 0.0000 0.0000 0.8528  1 Si 2.27, 3 Al 2.40
Al2 0.3333 0.6667 0.3060  3 P 2.40, 1 Al 2.61
P5 0.6667 0.3333 0.3363  1 Si 2.28, 3 Al 2.40
Si4 0.3333 0.6667 0.7480  1 P 2.28, 3 Si 2.37
Al3 0.0000 0.0000 0.6393  3 P 2.40, 1 Al 2.61
Si5 0.0000 0.0000 0.7749  1 P 2.27, 3 Si 2.37
Al4 0.6667 0.3333 0.8831  3 P 2.40, 1 Al 2.61
Al5 0.6667 0.3333 0.9727  3 P 2.40, 1 Al 2.61
P6 0.3333 0.6667 0.5195  1 Si 2.27, 3 Al 2.40
Al6 0.0000 0.0000 0.5498  3 P 2.40, 1 Al 2.61
Si6 0.6667 0.3333 0.1082  1 P 2.27, 3 Si 2.37

Raw formation energy   -265 meV/atom
SG   R3m (160)
Density   2.27 g/cm3



Entry 6:
## AlSi2P2 (PBE-GGA)

Data for a relaxed AlSi2P2 crystal.

Cell lengths 6.8136, 6.8136, 3.2773 Å; angles 90.00, 90.00, 90.00 degrees
Last column: nearest neighbours and their distance in Å.
Atoms (fractional coordinates):
Si1 0.8636 0.3636 0.0000  6 P 2.47-2.68, 1 Si 2.63, 2 Al 2.65
Si2 0.6364 0.8636 0.0000  6 P 2.47-2.68, 1 Si 2.63, 2 Al 2.65
P1 0.8278 0.6722 0.5000  6 Si 2.47-2.68
Al1 0.0000 0.0000 0.0000  4 Si 2.65
Al2 0.5000 0.5000 0.0000  4 Si 2.65
P2 0.3278 0.8278 0.5000  6 Si 2.47-2.68
Si3 0.1364 0.6364 0.0000  6 P 2.47-2.68, 1 Si 2.63, 2 Al 2.65
P3 0.6722 0.1722 0.5000  6 Si 2.47-2.68
Si4 0.3636 0.1364 0.0000  6 P 2.47-2.68, 1 Si 2.63, 2 Al 2.65
P4 0.1722 0.3278 0.5000  6 Si 2.47-2.68

Raw formation energy   358 meV/atom
SG   P4/mbm (127)
Density   3.17 g/cm3



Entry 7:
## AlSiP2 (PBE-GGA)

Data for a relaxed AlSiP2 crystal.

Cell lengths 3.0696, 3.0681, 6.1754 Å; angles 90.00, 90.00, 90.00 degrees
Last column: nearest neighbours and their distance in Å.
Atoms (fractional coordinates):
Si1 0.5000 0.5000 0.2500  8 P 2.62
Al1 0.5000 0.5000 0.7500  8 P 2.71
P1 0.0000 0.0000 0.0118  4 Si 2.62, 4 Al 2.71
P2 0.0000 0.0000 0.4882  4 Si 2.62, 4 Al 2.71

Raw formation energy   327 meV/atom
SG   P4/mmm (123)
Density   3.34 g/cm3



Entry 8:
## AlSiP2 (PBE-GGA)

Data for a relaxed AlSiP2 crystal.

Cell lengths 3.5571, 2.5663, 7.1187 Å; angles 102.20, 90.00, 90.00 degrees
Last column: nearest neighbours and their distance in Å.
Atoms (fractional coordinates):
Al1 0.5000 0.7500 0.7500  4 P 2.56, 2 Al 2.57
P1 0.0000 0.1154 0.0023  2 Si 2.48, 2 Al 2.56, 2 P 2.57
Si1 0.5000 0.2500 0.2500  4 P 2.48, 2 Si 2.57
P2 0.0000 0.3846 0.4977  2 Si 2.48, 2 Al 2.56, 2 P 2.57

Raw formation energy   95 meV/atom
SG   P2/m (10)
Density   3.06 g/cm3